## SiSbSe2I (PBE)

Data for a relaxed structure of SiSbSe2I.

Cell and atoms, written as POSCAR:
```
SiSbSe2I
1.0
5.310 0.000 0.000
0.000 5.310 0.000
0.000 0.000 5.890
Si Sb Se I
1 1 2 1
Cartesian
0.000 0.000 0.000
2.655 2.655 0.000
0.000 2.655 2.945
2.655 0.000 2.945
2.655 2.655 2.945
```

Results
- DOS at the Fermi energy (states/eV per cell) = 4.78
- space group = P4/mmm (123)
- raw formation energy (eV/atom) = 1.225

=====

## TaSe3Cl (PBE)

Data for a relaxed structure of TaSe3Cl.

Cell and atoms, written as POSCAR:
```
TaSe3Cl
1.0
4.205 0.000 0.000
-2.101 8.222 0.000
-0.005 -4.019 10.088
Ta Se Cl
2 6 2
Cartesian
-0.002 1.215 3.757
2.101 2.988 6.331
-0.002 -0.365 2.037
-0.004 2.513 1.666
-0.002 3.648 5.029
2.100 0.555 5.059
2.103 1.690 8.421
2.101 4.568 8.050
-0.005 4.779 1.921
2.103 -0.576 8.167
```

Results
- distance to the lowest polymorph of the same formula (meV/atom) = 0
- space group = P-1 (2)
- raw formation energy (eV/atom) = -0.410

=====

## Rb2HIr (PBE)

Data for a relaxed structure of Rb2HIr.

Cell and atoms, written as POSCAR:
```
Rb2HIr
1.0
-5.816 5.816 1.752
5.816 -5.816 1.752
5.816 5.816 -1.752
Rb H Ir
4 2 2
Cartesian
-0.615 2.908 0.438
2.908 5.201 1.314
0.615 8.724 0.438
-2.908 6.431 1.314
0.000 0.000 0.000
0.000 5.816 0.876
5.816 0.000 0.876
0.000 0.000 1.752
```

Results
- DOS at the Fermi energy (states/eV per cell) = 1.10
- distance to the lowest polymorph of the same formula (meV/atom) = 0
- space group = I-42d (122)

=====

## CdTe3 (PBE)

Data for a relaxed structure of CdTe3.

Cell and atoms, written as POSCAR:
```
CdTe3
1.0
3.030 0.000 0.000
0.000 7.578 0.000
-0.251 0.000 5.995
Cd Te
1 3
Cartesian
0.000 0.000 0.000
-0.126 0.000 2.998
1.230 3.789 4.540
1.549 3.789 1.455
```

Results
- DOS at the Fermi energy (states/eV per cell) = 3.15
- space group = P2/m (10)
- raw formation energy (eV/atom) = 0.137

=====

## Ho12Er7Cd (PBE)

Data for a relaxed structure of Ho12Er7Cd.

Cell and atoms, written as POSCAR:
```
Ho12Er7Cd
1.0
7.343 4.240 3.323
-7.343 4.240 3.323
0.000 -8.479 3.323
Ho Er Cd
12 7 1
Cartesian
-2.468 0.574 2.452
-1.261 -5.269 4.052
-5.194 -1.543 5.918
0.737 -2.424 2.452
-3.933 3.727 4.052
1.731 1.850 2.452
-1.731 -1.850 7.518
3.933 -3.727 5.918
-0.737 2.424 7.518
5.194 1.543 4.052
1.261 5.269 5.918
2.468 -0.574 7.518
0.000 0.000 0.000
-2.269 -2.193 4.273
-3.034 0.869 5.696
-0.765 3.062 4.273
0.765 -3.062 5.696
3.034 -0.869 4.273
2.269 2.193 5.696
0.000 0.000 4.985
```

Results
- DOS at the Fermi energy (states/eV per cell) = 38.21
- space group = R-3 (148)
- ΔE_f (eV/atom) = 0.15

=====

## Ta4AlPt (PBE)

Data for a relaxed structure of Ta4AlPt.

Cell and atoms, written as POSCAR:
```
Ta4AlPt
1.0
0.000 3.808 3.808
3.808 0.000 3.808
3.808 3.808 0.000
Ta Al Pt
4 1 1
Cartesian
0.942 0.942 0.942
2.866 2.866 0.942
2.866 0.942 2.866
0.942 2.866 2.866
5.712 5.712 5.712
3.808 3.808 3.808
```

Results
- DOS at the Fermi energy (states/eV per cell) = 4.98
- space group = F-43m (216)
- ΔE_f (eV/atom) = 0.22

=====

## CaPO6 (PBE)

Data for a relaxed structure of CaPO6.

Cell and atoms, written as POSCAR:
```
CaPO6
1.0
3.011 -7.765 0.000
3.011 7.765 0.000
-2.304 0.000 5.517
Ca P O
2 2 12
Cartesian
1.283 4.817 4.138
2.435 -4.817 1.379
2.435 2.545 1.379
1.283 -2.545 4.138
1.379 1.649 0.656
1.621 3.406 2.367
3.248 3.406 0.391
0.752 0.445 3.848
0.227 -1.649 3.415
1.904 -0.445 1.089
1.813 0.445 4.428
3.491 1.649 2.102
2.965 -0.445 1.669
0.469 -3.406 5.126
2.096 -3.406 3.150
2.339 -1.649 4.861
```

Results
- space group = C2/c (15)
- raw formation energy (eV/atom) = -1.719

=====

## Fe2CuOsPb (PBE)

Data for a relaxed structure of Fe2CuOsPb.

Cell and atoms, written as POSCAR:
```
Fe2CuOsPb
1.0
4.364 0.000 0.000
0.000 4.364 0.000
0.000 0.000 4.683
Fe Cu Os Pb
2 1 1 1
Cartesian
0.000 2.182 0.000
2.182 0.000 0.000
0.000 0.000 0.000
2.182 2.182 2.341
0.000 0.000 2.341
```

Results
- DOS at the Fermi energy (states/eV per cell) = 6.48
- space group = P4/mmm (123)
- ΔE_f (eV/atom) = 1.59

=====

Electronic total energy (eV per formula unit)
-11.9; -26.2; -12.5; -9.8; -84.9; -55.9; -50.9; -28.0
Volume (Å³ per atom)
33.223; 34.874; 29.638; 34.409; 31.038; 18.409; 16.122; 17.838